The following is a PBE calculation of a geometry-optimized DyHo5Se6 structure, from Alexandria.

Cell lengths 7.013, 7.027, 7.043 Å; angles 60.08, 80.35, 70.37 degrees
Fractional positions:
Se  0.251  0.916  0.665
Se  0.749  0.418  0.665
Se  0.749  0.084  0.335
Ho  0.000  0.334  0.333
Se  0.251  0.582  0.335
Ho  0.500  0.500  0.000
Ho  0.000  0.666  0.667
Se  0.750  0.749  0.000
Se  0.250  0.251  0.000
Ho  0.500  0.834  0.331
Ho  0.500  0.166  0.669
Dy  0.000  0.000  0.000

Summary:
**E_tot**: -69.120 eV for the cell shown
**ΔE_f (raw)**: -1727 meV per atom



The following is a PBE calculation of a geometry-optimized Dy3Ho5Se8 structure, from Alexandria.

Cell lengths 8.125, 8.125, 8.128 Å; angles 60.01, 60.01, 60.00 degrees
Fractional positions:
Dy  0.500  0.000  0.500
Dy  0.000  0.500  0.500
Ho  0.000  0.500  0.000
Ho  0.000  0.000  0.000
Se  0.749  0.749  0.752
Dy  0.000  0.000  0.500
Se  0.251  0.750  0.249
Ho  0.500  0.500  0.000
Se  0.750  0.251  0.249
Ho  0.500  0.500  0.500
Ho  0.500  0.000  0.000
Se  0.750  0.750  0.249
Se  0.749  0.250  0.751
Se  0.250  0.749  0.751
Se  0.250  0.250  0.751
Se  0.251  0.251  0.248

Summary:
**E_tot**: -92.194 eV for the cell shown
**ΔE_f (raw)**: -1726 meV per atom



The following is a PBE calculation of a geometry-optimized Dy3HoSe6 structure, from Alexandria.

Cell lengths 4.092, 11.559, 11.844 Å; angles 109.10, 90.00, 90.00 degrees
Fractional positions:
Se  0.750  0.110  0.465
Se  0.250  0.520  0.384
Dy  0.750  0.159  0.082
Ho  0.250  0.957  0.309
Se  0.750  0.397  0.063
Se  0.750  0.480  0.616
Dy  0.750  0.431  0.832
Se  0.750  0.809  0.750
Dy  0.250  0.569  0.168
Se  0.250  0.191  0.250
Se  0.750  0.749  0.278
Ho  0.750  0.043  0.691
Se  0.250  0.890  0.535
Se  0.250  0.083  0.900
Se  0.750  0.917  0.100
Dy  0.750  0.683  0.502
Se  0.250  0.251  0.722
Se  0.250  0.603  0.937
Dy  0.250  0.841  0.918
Dy  0.250  0.317  0.498

Summary:
**Distance to the lowest polymorph of the same formula**: 0 meV per atom
**E_tot**: -115.721 eV for the cell shown
**ΔE_f (raw)**: -1857 meV per atom



The following is a PBE calculation of a geometry-optimized DyHo4Se5 structure, from Alexandria.

Cell lengths 4.053, 4.053, 14.679 Å; angles 97.94, 97.94, 90.00 degrees
Fractional positions:
Ho  0.402  0.402  0.804
Dy  0.000  0.000  0.000
Se  0.698  0.698  0.396
Se  0.302  0.302  0.604
Ho  0.203  0.203  0.406
Ho  0.797  0.797  0.594
Se  0.500  0.500  0.000
Ho  0.598  0.598  0.196
Se  0.101  0.101  0.203
Se  0.899  0.899  0.797

Summary:
**E_tot**: -57.581 eV for the cell shown
**ΔE_f (raw)**: -1725 meV per atom



The following is a PBE calculation of a geometry-optimized Dy4HoSe5 structure, from Alexandria.

Cell lengths 5.770, 7.046, 7.046 Å; angles 80.35, 65.83, 65.83 degrees
Fractional positions:
Dy  0.200  0.202  0.400
Se  0.501  0.000  0.000
Se  0.901  0.399  0.802
Se  0.101  0.601  0.198
Dy  0.802  0.798  0.600
Se  0.703  0.198  0.399
Se  0.299  0.802  0.601
Ho  0.001  0.000  0.000
Dy  0.402  0.400  0.798
Dy  0.600  0.600  0.202

Summary:
**Distance to the lowest polymorph of the same formula**: 0 meV per atom
**E_tot**: -57.828 eV for the cell shown
**ΔE_f (raw)**: -1742 meV per atom



The following is a PBE calculation of a geometry-optimized Dy2HoSe structure, from Alexandria.

Cell lengths 3.784, 3.784, 9.625 Å; angles 78.66, 78.66, 60.00 degrees
Fractional positions:
Dy  0.066  0.066  0.801
Dy  0.267  0.267  0.198
Se  0.667  0.667  0.000
Ho  0.500  0.500  0.501

Summary:
**Distance to the lowest polymorph of the same formula**: 0 meV per atom
**E_tot**: -20.490 eV for the cell shown
**ΔE_f (raw)**: -806 meV per atom



The following is a PBE calculation of a geometry-optimized Dy4Ho2Se9 structure, from Alexandria.

Cell lengths 7.188, 7.190, 19.454 Å; angles 90.00, 90.03, 60.03 degrees
Fractional positions:
Dy  0.334  0.333  0.681
Dy  0.334  0.333  0.485
Se  0.029  0.330  0.083
Se  0.641  0.331  0.583
Dy  0.666  0.667  0.319
Se  0.332  0.028  0.583
Ho  0.001  0.998  0.653
Dy  0.668  0.666  0.819
Se  0.999  0.696  0.250
Se  0.696  0.305  0.250
Se  0.001  0.304  0.750
Ho  0.000  0.999  0.152
Se  0.696  0.000  0.750
Ho  0.000  0.001  0.848
Se  0.639  0.029  0.083
Ho  0.999  0.002  0.347
Dy  0.666  0.667  0.515
Se  0.304  0.695  0.750
Se  0.361  0.971  0.917
Se  0.359  0.669  0.417
Dy  0.667  0.666  0.015
Se  0.304  0.000  0.250
Se  0.971  0.670  0.917
Se  0.971  0.361  0.417
Se  0.668  0.361  0.917
Dy  0.333  0.334  0.985
Se  0.668  0.972  0.417
Se  0.029  0.639  0.583
Se  0.332  0.639  0.083
Dy  0.332  0.334  0.181

Summary:
**E_tot**: -173.623 eV for the cell shown
**ΔE_f (raw)**: -1859 meV per atom



The following is a PBE calculation of a geometry-optimized Dy4HoSe5 structure, from Alexandria.

Cell lengths 4.069, 4.069, 14.689 Å; angles 97.96, 97.96, 90.00 degrees
Fractional positions:
Se  0.699  0.699  0.399
Ho  0.000  0.000  0.000
Dy  0.400  0.400  0.801
Se  0.900  0.900  0.800
Se  0.100  0.100  0.200
Dy  0.600  0.600  0.199
Se  0.500  0.500  0.000
Se  0.301  0.301  0.601
Dy  0.799  0.799  0.599
Dy  0.201  0.201  0.401

Summary:
**Distance to the lowest polymorph of the same formula**: 2 meV per atom
**E_tot**: -57.808 eV for the cell shown
**ΔE_f (raw)**: -1740 meV per atom



The following is a PBE calculation of a geometry-optimized SmDy2HoSe4 structure, from Alexandria.

Cell lengths 4.042, 7.088, 7.163 Å; angles 71.19, 90.00, 90.00 degrees
Fractional positions:
Se  0.500  0.248  0.746
Dy  0.500  0.000  0.500
Se  0.000  0.245  0.257
Ho  0.000  0.500  0.500
Se  0.500  0.752  0.254
Se  0.000  0.755  0.743
Sm  0.500  0.500  0.000
Dy  0.000  0.000  0.000

Summary:
**E_tot**: -46.481 eV for the cell shown
**ΔE_f (raw)**: -1755 meV per atom



The following is a PBE calculation of a geometry-optimized SmDyHo2Se4 structure, from Alexandria.

Cell lengths 4.032, 7.131, 7.107 Å; angles 71.25, 90.00, 90.00 degrees
Fractional positions:
Se  0.500  0.245  0.748
Se  0.000  0.242  0.257
Se  0.500  0.755  0.252
Sm  0.500  0.500  0.000
Se  0.000  0.758  0.743
Ho  0.000  0.000  0.000
Ho  0.500  0.000  0.500
Dy  0.000  0.500  0.500

Summary:
**E_tot**: -46.414 eV for the cell shown
**ΔE_f (raw)**: -1750 meV per atom



The following is a PBE calculation of a geometry-optimized Sm2DyHoSe4 structure, from Alexandria.

Cell lengths 4.060, 7.252, 7.091 Å; angles 71.25, 90.00, 90.00 degrees
Fractional positions:
Se  0.500  0.739  0.255
Se  0.000  0.740  0.753
Sm  0.000  0.000  0.000
Sm  0.500  0.000  0.500
Dy  0.500  0.500  0.000
Se  0.000  0.260  0.247
Se  0.500  0.261  0.745
Ho  0.000  0.500  0.500

Summary:
**E_tot**: -46.777 eV for the cell shown
**ΔE_f (raw)**: -1778 meV per atom



The following is a PBE calculation of a geometry-optimized SmDy3Ho2Se6 structure, from Alexandria.

Cell lengths 7.078, 7.078, 7.084 Å; angles 99.54, 99.54, 120.29 degrees
Fractional positions:
Ho  0.666  0.334  0.000
Se  0.084  0.425  0.253
Se  0.742  0.742  0.249
Dy  0.500  0.500  0.500
Sm  0.000  0.000  0.000
Dy  0.161  0.839  0.500
Ho  0.334  0.666  0.000
Se  0.258  0.258  0.751
Se  0.916  0.575  0.747
Se  0.425  0.084  0.253
Dy  0.839  0.161  0.500
Se  0.575  0.916  0.747

Summary:
**E_tot**: -69.620 eV for the cell shown
**ΔE_f (raw)**: -1753 meV per atom